[1]
Zr3AlCu2: relaxed, GGA-PBE.

Unit cell a=5.868 b=5.868 c=7.948 alpha=90.00 beta=90.00 gamma=120.02
Sites, in units of the cell vectors:
Cu  0.333  0.667  0.089
Cu  0.667  0.333  0.911
Cu  0.667  0.333  0.589
Cu  0.333  0.667  0.411
Zr  0.351  0.176  0.250
Zr  0.176  0.351  0.750
Zr  0.176  0.824  0.750
Zr  0.824  0.176  0.250
Zr  0.824  0.649  0.250
Zr  0.649  0.824  0.750
Al  0.000  0.000  0.500
Al  0.000  0.000  0.000

[2]
ZrAl2Cu4: relaxed, GGA-PBE.

Unit cell a=4.026 b=4.026 c=16.312 alpha=90.00 beta=90.00 gamma=120.00
Sites, in units of the cell vectors:
Al  0.667  0.334  0.121
Al  0.666  0.333  0.764
Al  0.334  0.667  0.264
Al  0.333  0.666  0.621
Cu  0.000  0.000  0.547
Cu  0.000  0.001  0.198
Cu  0.667  0.333  0.969
Cu  0.000  0.000  0.047
Cu  0.667  0.334  0.275
Cu  0.000  0.999  0.698
Cu  0.333  0.666  0.775
Cu  0.333  0.667  0.469
Zr  0.000  0.001  0.377
Zr  0.000  0.999  0.877

[3]
Zr4Al2Cu: relaxed, GGA-PBE.

Unit cell a=3.127 b=8.903 c=10.740 alpha=68.32 beta=90.00 gamma=90.00
Sites, in units of the cell vectors:
Zr  0.250  0.051  0.611
Zr  0.250  0.132  0.878
Zr  0.250  0.467  0.889
Zr  0.750  0.533  0.111
Zr  0.250  0.602  0.362
Zr  0.750  0.949  0.389
Zr  0.750  0.868  0.122
Zr  0.750  0.398  0.638
Cu  0.250  0.246  0.255
Cu  0.750  0.754  0.745
Al  0.750  0.303  0.408
Al  0.250  0.796  0.911
Al  0.250  0.697  0.592
Al  0.750  0.204  0.089

Number 1: energy of formation 0.359 eV per atom, energy relative to the lowest polymorph listed for this composition 0.596 eV/atom. Number 2: energy of formation -0.020 eV per atom, energy relative to the lowest polymorph listed for this composition 0.248 eV/atom. Number 3: energy of formation -0.187 eV per atom, energy relative to the lowest polymorph listed for this composition 0.109 eV/atom.